This record from the Alexandria database describes a geometry-optimized HoCuTe2 structure. The functional is PBE.

abc: 4.148 4.148 7.400
angles: 73.72 73.72 60.00
Fractional positions:
Ho (0.502, 0.502, 0.495)
Cu (0.664, 0.664, 0.007)
Te (0.074, 0.074, 0.778)
Te (0.260, 0.260, 0.220)

Calculated values
Uncorrected energy: -4.422 eV per atom
M_tot: 0.0 μB/f.u.

This record from the Alexandria database describes a geometry-optimized EuCdRhPb structure. The functional is PBE.

abc: 5.040 5.040 5.040
angles: 60.00 60.00 60.00
Last column: magnetic moment on the atom in μB.
Fractional positions:
Pb (0.250, 0.250, 0.250)  0.00
Eu (0.500, 0.500, 0.500)  6.76
Rh (0.000, 0.000, 0.000)  -0.10
Cd (0.750, 0.750, 0.750)  0.00

Calculated values
E_form: -0.21 eV/atom
M_tot: 6.8 μB/f.u.

This record from the Alexandria database describes a geometry-optimized Ni2AgHRu structure. The functional is PBE.

abc: 3.907 3.907 3.693
angles: 90.00 90.00 90.00
Last column: magnetic moment on the atom in μB.
Fractional positions:
Ru (0.000, 0.000, 0.500)  0.77
H (0.000, 0.000, 0.000)  0.00
Ag (0.500, 0.500, 0.500)  0.06
Ni (0.000, 0.500, 0.000)  0.56
Ni (0.500, 0.000, 0.000)  0.56

Calculated values
Uncorrected energy: -5.110 eV per atom
M_tot: 1.9 μB/f.u.

Calculated ρ in order - 7700, 10541, 9644 kg/m3